Below is a geometry-optimized SrZn2CrF8 structure, with properties calculated at the PBE+U level.

Values from the calculation:
E   -4.943 eV per atom
Crystal system   tetragonal

abc: 5.3372 5.3372 6.8887
angles: 112.79 112.79 90.00
Last column: nearest neighbours and their distance in Å.
Atoms (fractional coordinates):
Sr 0.7500 0.2500 0.5000  8 F 2.41-2.61
F 0.7707 0.8446 0.1443  1 Zn 1.98, 1 Cr 2.18
Cr 0.0000 0.0000 0.0000  4 F 2.18
F 0.0907 0.0194 0.6793  1 Zn 1.94
F 0.9806 0.4114 0.3207  1 Zn 1.94
F 0.3401 0.9093 0.3207  1 Zn 1.94
F 0.1554 0.6264 0.8557  1 Zn 1.98, 1 Cr 2.18
F 0.7002 0.2293 0.8557  1 Zn 1.98, 1 Cr 2.18
Zn 0.5000 0.5000 0.0000  4 F 1.98
F 0.3736 0.2998 0.1443  1 Zn 1.98, 1 Cr 2.18
F 0.5886 0.6599 0.6793  1 Zn 1.94
Zn 0.2500 0.7500 0.5000  4 F 1.94